Compound: ZrSeOF2
Source: Alexandria
Functional: PBE-GGA
Structure: optimized geometry

The structure in POSCAR format:
```
ZrSeOF2
1.0
-2.4958 3.9788 0.7762
-3.4231 -1.5803 -2.9064
-1.6914 -1.6217 2.8739
O Se Zr F
1 1 1 2
Cartesian
-0.8457 -0.8108 1.4370
0.0000 0.0000 0.0000
-3.8052 0.3884 0.3719
-1.7116 -0.7901 -1.4532
-1.2479 1.9894 0.3881
```

As for the formation energy (no corrections): -0.48 eV per atom. For the electronic total energy, the calculation gives -4.630 eV/atom. The density of states at the Fermi level comes out at 3.40 states/eV/f.u.